Entry 1:
The following is a PBE-GGA calculation of a relaxed Ag2Sn2Pt crystal, from Alexandria via LeMat-Bulk.

calculated volume	105.1	Å³/f.u.
E_form	0.107	eV/atom
magnetization	0.00	μB/f.u.

Unit cell a=7.2066 b=7.2066 c=4.0490 alpha=90.00 beta=90.00 gamma=90.00
Atoms (fractional coordinates):
Ag1 0.1353 0.3647 0.0000
Ag2 0.3647 0.8647 0.0000
Ag3 0.6353 0.1353 0.0000
Ag4 0.8647 0.6353 0.0000
Sn1 0.1742 0.6742 0.5000
Sn2 0.3258 0.1742 0.5000
Sn3 0.6742 0.8258 0.5000
Sn4 0.8258 0.3258 0.5000
Pt1 0.0000 0.0000 0.0000
Pt2 0.5000 0.5000 0.0000



Entry 2:
The following is a PBE-GGA calculation of a relaxed AcCu6O8 crystal, from Alexandria via LeMat-Bulk.

uncorrected energy	-81.27	eV per formula unit
calculated volume	176.9	Å³/f.u.
magnetization	0.00	μB/f.u.

Unit cell a=5.6674 b=5.6674 c=5.6674 alpha=97.50 beta=97.50 gamma=97.50
Atoms (fractional coordinates):
Ac1 0.0000 0.0000 0.0000
Cu1 0.1315 0.5787 0.3530
Cu2 0.3530 0.1315 0.5787
Cu3 0.4213 0.6470 0.8685
Cu4 0.5787 0.3530 0.1315
Cu5 0.6470 0.8685 0.4213
Cu6 0.8685 0.4213 0.6470
O1 0.1673 0.3380 0.7700
O2 0.2300 0.8327 0.6620
O3 0.3178 0.3178 0.3178
O4 0.3380 0.7700 0.1673
O5 0.6620 0.2300 0.8327
O6 0.6822 0.6822 0.6822
O7 0.7700 0.1673 0.3380
O8 0.8327 0.6620 0.2300